## AlFeIrO6 (PBE with a Hubbard U)

Data for a relaxed structure of AlFeIrO6.

Cell: 4.9636 4.9636 8.7063 Å, 90.00 90.00 120.00°
Sites, in units of the cell vectors:
Al  0.3333  0.6667  0.2500
Al  0.6667  0.3333  0.7500
Fe  0.0000  0.0000  0.0000
Fe  0.0000  0.0000  0.5000
Ir  0.3333  0.6667  0.7500
Ir  0.6667  0.3333  0.2500
O  0.0072  0.3487  0.1312
O  0.0072  0.6585  0.3688
O  0.3415  0.3487  0.3688
O  0.3415  0.9928  0.1312
O  0.3487  0.0072  0.6312
O  0.3487  0.3415  0.8688
O  0.6513  0.6585  0.1312
O  0.6513  0.9928  0.3688
O  0.6585  0.0072  0.8688
O  0.6585  0.6513  0.6312
O  0.9928  0.3415  0.6312
O  0.9928  0.6513  0.8688

Output
DOS(E_F): 10.0 states/eV/cell
SG: No. 163
Electronic total energy: -122.074 eV/cell